Record 1
TlReTc2: optimized geometry, PBEsol.

a b c (Å): 5.572 7.793 2.882
angles (deg): 90.00 90.00 90.00
Space group Cmmm (No. 65)
Symmetry-distinct sites (fractional):
Tl: 0.000 0.000 0.000 [2 per cell]
Re: 0.000 0.500 0.000 [2 per cell]
Tc: 0.250 0.250 0.500 [4 per cell]

Properties
Total energy = -8.915 eV/atom
Energy of formation = 709 meV per atom
Mass density = 15.6 Mg/m³
Offset from the most stable computed form = 32 meV per atom



Record 2
TlRe2Tc: optimized geometry, PBEsol.

a b c (Å): 2.8436 2.8436 27.5585
angles (deg): 90.00 90.00 120.00
Space group R3m (No. 160, hexagonal axes)
Symmetry-distinct sites (fractional):
Tl: 0.0000 0.0000 0.0000 [3 per cell]
Re: 0.0000 0.0000 0.5017 [3 per cell]
Re: 0.0000 0.0000 0.7580 [3 per cell]
Tc: 0.0000 0.0000 0.2442 [3 per cell]

Properties
Total energy = -9.657 eV/atom
Energy of formation = 483 meV per atom
Mass density = 17.4 Mg/m³



Record 3
TlReTc2: optimized geometry, PBEsol.

a b c (Å): 3.224 4.381 8.891
angles (deg): 90.00 90.00 90.00
Space group Immm (No. 71)
Symmetry-distinct sites (fractional):
Tl: 0.000 0.000 0.000 [2 per cell]
Re: 0.000 0.000 0.500 [2 per cell]
Tc: 0.000 0.500 0.245 [4 per cell]

Properties
Total energy = -8.905 eV/atom
Energy of formation = 719 meV per atom
Mass density = 15.5 Mg/m³
Offset from the most stable computed form = 41 meV per atom



Record 4
TmReTc2: optimized geometry, PBEsol.

a b c (Å): 6.322 6.322 6.322
angles (deg): 90.00 90.00 90.00
Space group Fm-3m (No. 225)
Symmetry-distinct sites (fractional):
Tm: 0.000 0.000 0.000 [4 per cell]
Re: 0.000 0.000 0.500 [4 per cell]
Tc: 0.250 0.250 0.250 [8 per cell]

Properties
Total energy = -10.174 eV/atom
Energy of formation = 17 meV per atom
Mass density = 14.5 Mg/m³



Record 5
V2ReTc: optimized geometry, PBEsol.

a b c (Å): 5.994 5.994 5.994
angles (deg): 90.00 90.00 90.00
Space group Fm-3m (No. 225)
Symmetry-distinct sites (fractional):
V: 0.250 0.250 0.250 [8 per cell]
Re: 0.000 0.000 0.000 [4 per cell]
Tc: 0.000 0.000 0.500 [4 per cell]

Properties
Total energy = -11.329 eV/atom
Energy of formation = -362 meV per atom
Mass density = 11.9 Mg/m³



Record 6
Re2TcW: optimized geometry, PBEsol.

a b c (Å): 3.895 3.895 7.806
angles (deg): 90.00 90.00 90.00
Space group I4/mmm (No. 139)
Symmetry-distinct sites (fractional):
Re: 0.000 0.500 0.250 [4 per cell]
Tc: 0.000 0.000 0.000 [2 per cell]
W: 0.000 0.000 0.500 [2 per cell]

Properties
Total energy = -12.801 eV/atom
Energy of formation = 134 meV per atom
Mass density = 18.3 Mg/m³
Offset from the most stable computed form = 0 meV per atom